Ba4Ga5AgSe12 at its PBEsol-relaxed geometry. Source: the Alexandria database, functional SCAN.

- energy relative to the elements, uncorrected (eV/atom) = -1.29
- M_tot (μB per cell) = 0.00
- calculated total energy (eV per atom) = -24.5732

Cell and atoms, written as POSCAR:
```
Ba4Ga5AgSe12
1.0
13.662 0.000 0.000
0.000 13.662 0.000
0.000 0.000 6.504
Ba Ga Ag Se
8 10 2 24
Direct
0.023 0.288 0.464 Ba
0.212 0.473 0.950 Ba
0.288 0.977 0.536 Ba
0.473 0.788 0.050 Ba
0.527 0.212 0.050 Ba
0.712 0.023 0.536 Ba
0.788 0.527 0.950 Ba
0.977 0.712 0.464 Ba
0.000 0.000 0.000 Ga
0.139 0.757 0.949 Ga
0.243 0.139 0.051 Ga
0.257 0.637 0.445 Ga
0.363 0.257 0.555 Ga
0.500 0.500 0.500 Ga
0.637 0.743 0.555 Ga
0.743 0.363 0.445 Ga
0.757 0.861 0.051 Ga
0.861 0.243 0.949 Ga
0.000 0.500 0.197 Ag
0.500 0.000 0.803 Ag
0.001 0.348 0.959 Se
0.083 0.896 0.755 Se
0.104 0.083 0.245 Se
0.142 0.506 0.468 Se
0.195 0.787 0.294 Se
0.213 0.195 0.706 Se
0.288 0.691 0.794 Se
0.309 0.288 0.206 Se
0.348 0.999 0.041 Se
0.396 0.581 0.253 Se
0.419 0.396 0.747 Se
0.494 0.142 0.532 Se
0.506 0.858 0.532 Se
0.581 0.604 0.747 Se
0.604 0.419 0.253 Se
0.652 0.001 0.041 Se
0.691 0.712 0.206 Se
0.712 0.309 0.794 Se
0.787 0.805 0.706 Se
0.805 0.213 0.294 Se
0.858 0.494 0.468 Se
0.896 0.917 0.245 Se
0.917 0.104 0.755 Se
0.999 0.652 0.959 Se
```

Ba2Ag2Ge at its PBEsol-relaxed geometry. Source: the Alexandria database, functional SCAN.

- M_tot (μB per cell) = 0.00
- formation energy (eV/atom) = -0.25
- calculated total energy (eV per atom) = -32.4392

Cell and atoms, written as POSCAR:
```
Ba2Ag2Ge
1.0
-1.940 1.940 9.693
1.940 -1.940 9.693
1.940 1.940 -9.693
Ba Ag Ge
2 2 1
Direct
0.103 0.103 0.000 Ba
0.897 0.897 0.000 Ba
0.250 0.750 0.500 Ag
0.750 0.250 0.500 Ag
0.500 0.500 0.000 Ge
```